(1)
PBE-GGA CsPtBr2, relaxed; calculated volume = 212 Å³/cell; formation energy (no corrections) = -0.537 eV/atom; ΔE to the lowest computed polymorph = 0.000 eV per atom; VASP energy = -12.4 eV/cell; M_tot = 1.00 Bohr magnetons per cell
1.0
-2.7249 -6.0977 3.3126
3.0918 -4.8859 4.7062
-1.3921 -1.5501 7.1582
Cs Br Pt
1 2 1
Direct
0.5000 0.5000 0.5000
0.1193 0.1193 0.1193
0.8807 0.8807 0.8807
0.0000 0.0000 0.0000


(2)
PBE-GGA CsPtBr, relaxed; calculated volume = 202 Å³/cell; formation energy (no corrections) = -0.680 eV/atom; ΔE to the lowest computed polymorph = 0.000 eV per atom; VASP energy = -21.2 eV/cell; M_tot = 0.00 Bohr magnetons per cell
1.0
-1.9031 6.2021 -2.8073
-7.3426 0.0983 2.3984
1.1993 0.7810 3.6253
Pt Cs Br
2 2 2
Direct
0.4060 0.4503 0.7395
0.5657 0.2543 0.3192
0.7815 0.6323 0.4261
0.1895 0.0730 0.6319
0.7303 0.0532 0.9012
0.2411 0.6513 0.1574


(3)
PBE-GGA Cs2PtBr4, relaxed; calculated volume = 260 Å³/cell; formation energy (no corrections) = -1.106 eV/atom; VASP energy = -22.2 eV/cell; M_tot = 0.00 Bohr magnetons per cell
1.0
-1.5053 3.4335 -3.9950
-4.3357 -3.1673 -1.0884
-7.6557 4.6640 3.1366
Br Cs Pt
4 2 1
Direct
0.0000 0.5000 0.0000
0.8544 0.8544 0.2911
0.5000 0.0000 0.0000
0.1456 0.1456 0.7089
0.3618 0.3618 0.2765
0.6382 0.6382 0.7235
0.0000 0.0000 0.0000


(4)
PBE-GGA CsPt2Br, relaxed; calculated volume = 96 Å³/cell; formation energy (no corrections) = 0.918 eV/atom; ΔE to the lowest computed polymorph = 0.847 eV per atom; VASP energy = -10.9 eV/cell; M_tot = 0.00 Bohr magnetons per cell
1.0
-4.6646 -0.7516 -2.0151
-3.8038 3.2946 1.0297
-1.7463 3.1362 -3.6741
Pt Cs Br
2 1 1
Direct
0.2500 0.2500 0.2500
0.7500 0.7500 0.7500
0.5000 0.5000 0.5000
0.0000 0.0000 0.0000


(5)
PBE-GGA CsPt3Br, relaxed; calculated volume = 147 Å³/cell; formation energy (no corrections) = 2.025 eV/atom; ΔE to the lowest computed polymorph = 1.215 eV per atom; VASP energy = -10.5 eV/cell; M_tot = 0.00 Bohr magnetons per cell
1.0
-2.8780 2.2904 -3.7886
0.5322 -4.3070 -3.0082
-4.3950 -2.0214 2.1166
Pt Br Cs
3 1 1
Direct
0.5000 0.0000 0.0000
0.0000 0.5000 0.0000
0.0000 0.0000 0.5000
0.5000 0.5000 0.5000
0.0000 0.0000 0.0000


(6)
PBE-GGA Cs6PtBr, relaxed; calculated volume = 1219 Å³/cell; formation energy (no corrections) = -0.431 eV/atom; VASP energy = -32.6 eV/cell; M_tot = 0.00 Bohr magnetons per cell
1.0
9.1865 0.0000 -0.0522
0.0000 9.8056 0.0000
-0.0244 0.0000 13.5319
Cs Br Pt
12 2 2
Direct
0.1248 0.5349 0.7379
0.3752 0.0349 0.7621
0.6999 0.6824 0.5604
0.3001 0.3176 0.4396
0.6730 0.7049 0.9399
0.1730 0.7951 0.4399
0.8752 0.4651 0.2621
0.8001 0.1824 0.9396
0.3270 0.2951 0.0601
0.6248 0.9651 0.2379
0.1999 0.8176 0.0604
0.8270 0.2049 0.5601
0.0000 0.5000 0.0000
0.5000 0.0000 0.5000
0.5000 0.0000 0.0000
0.0000 0.5000 0.5000